DFT (PBE) results for a geometry-optimized AlVFe2 structure.

Summary:
magnetization: 0.5120 μB/atom
space-group type: No. 122
VASP energy: -7.1093 eV/atom
E_form: 337 meV/atom

Cell lengths 5.242, 5.242, 5.242 Å; angles 103.95, 103.95, 121.18 degrees
Fractional positions:
Al (0.000, 0.000, 0.000)
Al (0.750, 0.250, 0.500)
V (0.250, 0.750, 0.500)
V (0.500, 0.500, 0.000)
Fe (0.154, 0.125, 0.529)
Fe (0.375, 0.846, 0.971)
Fe (0.596, 0.625, 0.471)
Fe (0.875, 0.404, 0.029)